# AgPtSCl2 (PBE, optimized geometry)
# crystal system	tetragonal
# Fermi-level density of states	4.98	states/eV/cell
# uncorrected formation energy	4.304	eV per formula unit
# volume	23.42	Å³/atom
# ρ	5.755	g/cm3
data_AgPtSCl2
_symmetry_space_group_name_H-M 'P 4/m m m'
_symmetry_Int_Tables_number 123
_symmetry_space_group_name_Hall '-P 4 2'
_cell_length_a 4.7553
_cell_length_b 4.7553
_cell_length_c 5.1792
_cell_angle_alpha 90.00
_cell_angle_beta 90.00
_cell_angle_gamma 90.00
loop_
_atom_site_label
_atom_site_fract_x
_atom_site_fract_y
_atom_site_fract_z
Ag1 0.0000 0.0000 0.0000
Pt1 0.5000 0.5000 0.5000
S1 0.0000 0.0000 0.5000
Cl1 0.0000 0.5000 0.0000


# LiInS2 (PBE, optimized geometry)
# crystal system	tetragonal
# Fermi-level density of states	2.04	states/eV/cell
# uncorrected formation energy	-3.002	eV per formula unit
# volume	18.85	Å³/atom
# ρ	4.093	g/cm3
data_LiInS2
_symmetry_space_group_name_H-M 'P 4/m m m'
_symmetry_Int_Tables_number 123
_symmetry_space_group_name_Hall '-P 4 2'
_cell_length_a 3.8210
_cell_length_b 3.8210
_cell_length_c 5.1656
_cell_angle_alpha 90.00
_cell_angle_beta 90.00
_cell_angle_gamma 90.00
loop_
_atom_site_label
_atom_site_fract_x
_atom_site_fract_y
_atom_site_fract_z
Li1 0.0000 0.0000 0.0000
In1 0.5000 0.5000 0.5000
S1 0.0000 0.0000 0.5000
S2 0.5000 0.5000 0.0000


# BRuRh (PBE, optimized geometry)
# crystal system	monoclinic
# calculated total energy	-7.914	eV per atom
# Fermi-level density of states	12.32	states/eV/cell
# volume	11.43	Å³/atom
# ρ	10.399	g/cm3
data_BRuRh
_symmetry_space_group_name_H-M 'C 1 2/m 1'
_symmetry_Int_Tables_number 12
_symmetry_space_group_name_Hall '-C 2y'
_cell_length_a 9.5022
_cell_length_b 2.8074
_cell_length_c 6.2979
_cell_angle_alpha 90.00
_cell_angle_beta 125.26
_cell_angle_gamma 90.00
loop_
_atom_site_label
_atom_site_fract_x
_atom_site_fract_y
_atom_site_fract_z
B1 0.1216 0.0000 0.1878
Ru1 0.0846 0.5000 0.8840
Rh1 0.1660 0.0000 0.5899


Please write out number 3 again, unchanged.
# BRuRh (PBE, optimized geometry)
# crystal system	monoclinic
# calculated total energy	-7.914	eV per atom
# Fermi-level density of states	12.32	states/eV/cell
# volume	11.43	Å³/atom
# ρ	10.399	g/cm3
data_BRuRh
_symmetry_space_group_name_H-M 'C 1 2/m 1'
_symmetry_Int_Tables_number 12
_symmetry_space_group_name_Hall '-C 2y'
_cell_length_a 9.5022
_cell_length_b 2.8074
_cell_length_c 6.2979
_cell_angle_alpha 90.00
_cell_angle_beta 125.26
_cell_angle_gamma 90.00
loop_
_atom_site_label
_atom_site_fract_x
_atom_site_fract_y
_atom_site_fract_z
B1 0.1216 0.0000 0.1878
Ru1 0.0846 0.5000 0.8840
Rh1 0.1660 0.0000 0.5899